VASP calculation (PBE) on a relaxed LaHS2O8 crystal. Values from VASP.

Properties
- total DFT energy (no corrections) (eV/atom) = -6.25

```
&SYSTEM
  ibrav = 0, nat = 12, ntyp = 4
/
ATOMIC_SPECIES
O 16.00 O.upf
S 32.06 S.upf
La 138.91 La.upf
H 1.01 H.upf
CELL_PARAMETERS angstrom
4.8331 0.0000 0.0000
2.4165 5.0165 0.1096
2.4165 1.9711 5.6031
ATOMIC_POSITIONS angstrom
O 6.0496 6.4781 4.4459
O 8.4497 6.4781 4.4459
O 1.2165 0.5095 1.2668
O 3.6166 0.5095 1.2668
S 2.4165 1.3709 0.9956
O 2.4165 2.5253 1.9437
O 7.2496 4.4623 3.7690
La 4.8331 3.4938 2.8563
S 7.2496 5.6168 4.7171
O 4.8331 3.1353 0.4922
O 4.8331 3.8524 5.2205
H 0.0000 0.0000 0.0000
```